# 1
Below is a geometry-optimized Be2RuPt structure, with properties calculated at the PBEsol level.

Cell lengths 3.969, 3.969, 2.733 Å; angles 90.00, 90.00, 90.00 degrees
Space group P4/mmm (No. 123)
Unique sites:
Be 0.000 0.500 0.000
Ru 0.000 0.000 0.500
Pt 0.500 0.500 0.500

Summary:
Excess energy over the best structure of this formula in the dataset = 17 meV/atom
Crystal system = tetragonal
DFT formation energy = -490 meV per atom
Magnetization = 0.00 μB/f.u.

=====

# 2
Below is a geometry-optimized Ni15O16 structure, with properties calculated at the PBEsol level.

Cell lengths 8.130, 8.130, 8.130 Å; angles 90.00, 90.00, 90.00 degrees
Space group Im-3m (No. 229)
Unique sites:
Ni 0.000 0.000 0.500
Ni 0.000 0.244 0.244
O 0.000 0.000 0.268
O 0.000 0.250 0.500
O 0.250 0.250 0.250

Summary:
Energy relative to the elements, uncorrected = -1677.5 kJ/mol of formula units
Crystal system = cubic
Magnetization = 0.01 μB/f.u.

=====

# 3
Below is a geometry-optimized Lu6Sb2Mo structure, with properties calculated at the PBEsol level.

Cell lengths 7.8754, 7.8754, 4.2085 Å; angles 90.00, 90.00, 120.00 degrees
Space group P-62m (No. 189)
Unique sites:
Lu 0.0000 0.3931 0.0000
Lu 0.0000 0.7608 0.5000
Sb 0.3333 0.6667 0.5000
Mo 0.0000 0.0000 0.0000

Summary:
Energy relative to the elements, uncorrected = -474.5 kJ/mol of formula units
Crystal system = hexagonal
Magnetization = 0.00 μB/f.u.

=====

# 4
Below is a geometry-optimized NiMo2Ru structure, with properties calculated at the PBEsol level.

Cell lengths 2.720, 4.289, 4.657 Å; angles 90.00, 90.00, 90.00 degrees
Space group Pmm2 (No. 25)
Unique sites:
Ni 0.000 0.000 0.000
Mo 0.500 0.000 0.504
Mo 0.500 0.500 0.856
Ru 0.000 0.500 0.342

Summary:
Crystal system = orthorhombic
DFT formation energy = 20 meV per atom
Magnetization = 0.00 μB/f.u.

=====

# 5
Below is a geometry-optimized CsTi2OsW structure, with properties calculated at the PBEsol level.

Cell lengths 4.672, 4.672, 4.848 Å; angles 90.00, 90.00, 90.00 degrees
Space group P4/mmm (No. 123)
Unique sites:
Cs 0.000 0.000 0.000
Ti 0.000 0.500 0.000
Os 0.500 0.500 0.500
W 0.000 0.000 0.500

Summary:
Crystal system = tetragonal
DFT formation energy = 3109 meV per atom
Magnetization = 0.00 μB/f.u.

=====

# 6
Below is a geometry-optimized NaZnPO4 structure, with properties calculated at the PBEsol level.

Cell lengths 8.669, 8.146, 17.551 Å; angles 90.00, 119.43, 90.00 degrees
Space group P2_1/c (No. 14)
Unique sites:
Na 0.006 0.036 0.248
Na 0.294 0.532 0.566
Na 0.355 0.533 0.093
Zn 0.031 0.215 0.421
Zn 0.319 0.221 0.235
Zn 0.344 0.719 0.407
P 0.024 0.674 0.921
P 0.308 0.672 0.733
P 0.351 0.173 0.908
O 0.070 0.726 0.505
O 0.089 0.732 0.366
O 0.122 0.507 0.949
O 0.136 0.728 0.204
O 0.179 0.144 0.634
O 0.239 0.150 0.954
O 0.242 0.229 0.323
O 0.254 0.502 0.688
O 0.398 0.003 0.885
O 0.408 0.650 0.834
O 0.426 0.740 0.202
O 0.473 0.735 0.032

Summary:
Energy relative to the elements, uncorrected = -1409.8 kJ/mol of formula units
Crystal system = monoclinic
Magnetization = 0.00 μB/f.u.